(P)
# RbSrS3, relaxed, DFT PBE
# Total moment, μB/f.u.: 3.0
# Density, g/cm3: 2.392
# Crystal system: cubic
data_RbSrS3
_chemical_formula_sum 'Rb1 Sr1 S3'
_cell_length_a 5.7176
_cell_length_b 5.7176
_cell_length_c 5.7176
_cell_angle_alpha 90.00
_cell_angle_beta 90.00
_cell_angle_gamma 90.00
_symmetry_space_group_name_H-M 'P m -3 m'
_symmetry_Int_Tables_number 221
_symmetry_space_group_name_Hall '-P 4 2 3'
loop_
_atom_site_label
_atom_site_type_symbol
_atom_site_fract_x
_atom_site_fract_y
_atom_site_fract_z
_atom_site_occupancy
Rb1 Rb 0.0000 0.0000 0.0000 1
Sr1 Sr 0.5000 0.5000 0.5000 1
S1 S 0.0000 0.5000 0.5000 1


(Q)
# RbSrS3, relaxed, DFT PBE
# Total moment, μB/f.u.: 0.0
# Density, g/cm3: 2.813
# Crystal system: cubic
data_RbSrS3
_chemical_formula_sum 'Rb1 Sr1 S3'
_cell_length_a 5.4170
_cell_length_b 5.4170
_cell_length_c 5.4170
_cell_angle_alpha 90.00
_cell_angle_beta 90.00
_cell_angle_gamma 90.00
_symmetry_space_group_name_H-M 'P m -3 m'
_symmetry_Int_Tables_number 221
_symmetry_space_group_name_Hall '-P 4 2 3'
loop_
_atom_site_label
_atom_site_type_symbol
_atom_site_fract_x
_atom_site_fract_y
_atom_site_fract_z
_atom_site_occupancy
Rb1 Rb 0.0000 0.0000 0.0000 1
Sr1 Sr 0.5000 0.5000 0.5000 1
S1 S 0.0000 0.0000 0.5000 1


Short version: (Q) is the least stable of them.


(P)
# Rb2Ta2S, relaxed, DFT PBE
# Total moment, μB/f.u.: 0.6
# Density, g/cm3: 5.754
# Crystal system: tetragonal
data_Rb2Ta2S
_chemical_formula_sum 'Rb4 Ta4 S2'
_cell_length_a 3.7243
_cell_length_b 3.7243
_cell_length_c 23.5064
_cell_angle_alpha 90.00
_cell_angle_beta 90.00
_cell_angle_gamma 90.00
_symmetry_space_group_name_H-M 'I 4/m m m'
_symmetry_Int_Tables_number 139
_symmetry_space_group_name_Hall '-I 4 2'
loop_
_atom_site_label
_atom_site_type_symbol
_atom_site_fract_x
_atom_site_fract_y
_atom_site_fract_z
_atom_site_occupancy
Rb1 Rb 0.0000 0.0000 0.0841 1
Ta1 Ta 0.0000 0.5000 0.2500 1
S1 S 0.0000 0.0000 0.5000 1


(Q)
# Rb2Ta2S, relaxed, DFT PBE
# Total moment, μB/f.u.: 0.0
# Density, g/cm3: 5.211
# Crystal system: tetragonal
data_Rb2Ta2S
_chemical_formula_sum 'Rb4 Ta4 S2'
_cell_length_a 10.8110
_cell_length_b 10.8110
_cell_length_c 3.0802
_cell_angle_alpha 90.00
_cell_angle_beta 90.00
_cell_angle_gamma 90.00
_symmetry_space_group_name_H-M 'P 4/m b m'
_symmetry_Int_Tables_number 127
_symmetry_space_group_name_Hall '-P 4 2ab'
loop_
_atom_site_label
_atom_site_type_symbol
_atom_site_fract_x
_atom_site_fract_y
_atom_site_fract_z
_atom_site_occupancy
Rb1 Rb 0.2135 0.2865 0.0000 1
Ta1 Ta 0.0748 0.5748 0.5000 1
S1 S 0.0000 0.0000 0.0000 1


Short version: (Q) is the least stable of them.


(P)
# Rb2TaS4, relaxed, DFT PBE
# Total moment, μB/f.u.: 1.1
# Density, g/cm3: 2.238
# Crystal system: orthorhombic
data_Rb2TaS4
_chemical_formula_sum 'Rb8 Ta4 S16'
_cell_length_a 11.2142
_cell_length_b 11.3256
_cell_length_c 11.2210
_cell_angle_alpha 90.00
_cell_angle_beta 90.00
_cell_angle_gamma 90.00
_symmetry_space_group_name_H-M 'F m m 2'
_symmetry_Int_Tables_number 42
_symmetry_space_group_name_Hall 'F 2 -2'
loop_
_atom_site_label
_atom_site_type_symbol
_atom_site_fract_x
_atom_site_fract_y
_atom_site_fract_z
_atom_site_occupancy
Rb1 Rb 0.2500 0.2500 0.0000 1
Ta1 Ta 0.0000 0.0000 0.2517 1
S1 S 0.0000 0.1644 0.1343 1
S2 S 0.1656 0.0000 0.3696 1


(Q)
# Rb2TaS4, relaxed, DFT PBE
# Total moment, μB/f.u.: 0.0
# Density, g/cm3: 3.056
# Crystal system: monoclinic
data_Rb2TaS4
_chemical_formula_sum 'Rb4 Ta2 S8'
_cell_length_a 7.5901
_cell_length_b 5.7905
_cell_length_c 11.9649
_cell_angle_alpha 90.00
_cell_angle_beta 97.08
_cell_angle_gamma 90.00
_symmetry_space_group_name_H-M 'P 1 21/m 1'
_symmetry_Int_Tables_number 11
_symmetry_space_group_name_Hall '-P 2yb'
loop_
_atom_site_label
_atom_site_type_symbol
_atom_site_fract_x
_atom_site_fract_y
_atom_site_fract_z
_atom_site_occupancy
Rb1 Rb 0.2276 0.2500 0.4050 1
Rb2 Rb 0.2413 0.2500 0.9802 1
Ta1 Ta 0.3089 0.7500 0.7381 1
S1 S 0.0779 0.7500 0.8424 1
S2 S 0.2224 0.7500 0.5506 1
S3 S 0.4794 0.5270 0.2063 1


Short version: (P) is the least stable of them.


(P)
# Rb2TaS2, relaxed, DFT PBE
# Total moment, μB/f.u.: 3.0
# Density, g/cm3: 4.320
# Crystal system: tetragonal
data_Rb2TaS2
_chemical_formula_sum 'Rb4 Ta2 S4'
_cell_length_a 5.7482
_cell_length_b 5.7482
_cell_length_c 9.6784
_cell_angle_alpha 90.00
_cell_angle_beta 90.00
_cell_angle_gamma 90.00
_symmetry_space_group_name_H-M 'I 4/m m m'
_symmetry_Int_Tables_number 139
_symmetry_space_group_name_Hall '-I 4 2'
loop_
_atom_site_label
_atom_site_type_symbol
_atom_site_fract_x
_atom_site_fract_y
_atom_site_fract_z
_atom_site_occupancy
Rb1 Rb 0.0000 0.0000 0.1519 1
Ta1 Ta 0.0000 0.0000 0.5000 1
S1 S 0.0000 0.5000 0.2500 1


(Q)
# Rb2TaS2, relaxed, DFT PBE
# Total moment, μB/f.u.: 2.8
# Density, g/cm3: 4.975
# Crystal system: tetragonal
data_Rb2TaS2
_chemical_formula_sum 'Rb4 Ta2 S4'
_cell_length_a 9.3967
_cell_length_b 9.3967
_cell_length_c 3.1454
_cell_angle_alpha 90.00
_cell_angle_beta 90.00
_cell_angle_gamma 90.00
_symmetry_space_group_name_H-M 'P 4/m b m'
_symmetry_Int_Tables_number 127
_symmetry_space_group_name_Hall '-P 4 2ab'
loop_
_atom_site_label
_atom_site_type_symbol
_atom_site_fract_x
_atom_site_fract_y
_atom_site_fract_z
_atom_site_occupancy
Rb1 Rb 0.1212 0.3788 0.0000 1
Ta1 Ta 0.0000 0.0000 0.0000 1
S1 S 0.1804 0.6804 0.5000 1


Short version: (P) is the least stable of them.


(P)
# RbTaS4, relaxed, DFT PBE
# Total moment, μB/f.u.: 0.0
# Density, g/cm3: 4.549
# Crystal system: tetragonal
data_RbTaS4
_chemical_formula_sum 'Rb1 Ta1 S4'
_cell_length_a 4.1341
_cell_length_b 4.1341
_cell_length_c 8.4287
_cell_angle_alpha 90.00
_cell_angle_beta 90.00
_cell_angle_gamma 90.00
_symmetry_space_group_name_H-M 'P 4/m m m'
_symmetry_Int_Tables_number 123
_symmetry_space_group_name_Hall '-P 4 2'
loop_
_atom_site_label
_atom_site_type_symbol
_atom_site_fract_x
_atom_site_fract_y
_atom_site_fract_z
_atom_site_occupancy
Rb1 Rb 0.0000 0.0000 0.0000 1
Ta1 Ta 0.5000 0.5000 0.5000 1
S1 S 0.0000 0.5000 0.3166 1


(Q)
# RbTaS4, relaxed, DFT PBE
# Total moment, μB/f.u.: 0.0
# Density, g/cm3: 3.329
# Crystal system: monoclinic
data_RbTaS4
_chemical_formula_sum 'Rb4 Ta4 S16'
_cell_length_a 7.6178
_cell_length_b 17.6400
_cell_length_c 5.8898
_cell_angle_alpha 90.00
_cell_angle_beta 95.75
_cell_angle_gamma 90.00
_symmetry_space_group_name_H-M 'C 1 2/c 1'
_symmetry_Int_Tables_number 15
_symmetry_space_group_name_Hall '-C 2yc'
loop_
_atom_site_label
_atom_site_type_symbol
_atom_site_fract_x
_atom_site_fract_y
_atom_site_fract_z
_atom_site_occupancy
Rb1 Rb 0.0000 0.1814 0.2500 1
Ta1 Ta 0.0000 0.4193 0.2500 1
S1 S 0.1165 0.4418 0.6679 1
S2 S 0.2339 0.3459 0.2080 1


Short version: (P) is the least stable of them.


(P)
# Rb2TcS4, relaxed, DFT PBE
# Total moment, μB/f.u.: 0.6
# Density, g/cm3: 3.514
# Crystal system: tetragonal
data_Rb2TcS4
_chemical_formula_sum 'Rb4 Tc2 S8'
_cell_length_a 4.7031
_cell_length_b 4.7031
_cell_length_c 16.9709
_cell_angle_alpha 90.00
_cell_angle_beta 90.00
_cell_angle_gamma 90.00
_symmetry_space_group_name_H-M 'I 4/m m m'
_symmetry_Int_Tables_number 139
_symmetry_space_group_name_Hall '-I 4 2'
loop_
_atom_site_label
_atom_site_type_symbol
_atom_site_fract_x
_atom_site_fract_y
_atom_site_fract_z
_atom_site_occupancy
Rb1 Rb 0.0000 0.0000 0.1530 1
Tc1 Tc 0.0000 0.0000 0.5000 1
S1 S 0.0000 0.0000 0.3572 1
S2 S 0.0000 0.5000 0.0000 1


(Q)
# Rb2TcS4, relaxed, DFT PBE
# Total moment, μB/f.u.: 1.0
# Density, g/cm3: 2.844
# Crystal system: monoclinic
data_Rb2TcS4
_chemical_formula_sum 'Rb4 Tc2 S8'
_cell_length_a 7.1407
_cell_length_b 6.9415
_cell_length_c 9.8262
_cell_angle_alpha 90.00
_cell_angle_beta 107.80
_cell_angle_gamma 90.00
_symmetry_space_group_name_H-M 'P 1 21/m 1'
_symmetry_Int_Tables_number 11
_symmetry_space_group_name_Hall '-P 2yb'
loop_
_atom_site_label
_atom_site_type_symbol
_atom_site_fract_x
_atom_site_fract_y
_atom_site_fract_z
_atom_site_occupancy
Rb1 Rb 0.1881 0.2500 0.4226 1
Rb2 Rb 0.2816 0.2500 0.9691 1
Tc1 Tc 0.3173 0.7500 0.2240 1
S1 S 0.0973 0.7500 0.3381 1
S2 S 0.1792 0.7500 0.9922 1
S3 S 0.4950 0.5030 0.7169 1


Short version: (P) is the least stable of them.